1) A relaxed Nb2CrSbAs crystal. Source: Alexandria, functional PBE-GGA.

Results
**Calculated volume**: 131.7 Å³/f.u.
**Total magnetic moment**: 0.48 μB per formula unit

Lattice parameters (Å, degrees): 5.0832 5.0832 5.0977 90.00 90.00 90.00
Space group P4/mmm (No. 123)
One atom of each set of equivalent atoms:
Nb: 0.0000 0.5000 0.0000 x2
Cr: 0.0000 0.0000 0.5000 x1
Sb: 0.5000 0.5000 0.0000 x1
As: 0.5000 0.5000 0.5000 x1

=====

2) A relaxed Nb2CrSbAs crystal. Source: Alexandria, functional PBE-GGA.

Results
**Calculated volume**: 118.0 Å³/f.u.
**Total magnetic moment**: 0.24 μB per formula unit

Lattice parameters (Å, degrees): 5.0624 5.0624 4.6050 90.00 90.00 90.00
Space group P4/mmm (No. 123)
One atom of each set of equivalent atoms:
Nb: 0.0000 0.5000 0.0000 x2
Cr: 0.0000 0.0000 0.5000 x1
Sb: 0.0000 0.0000 0.0000 x1
As: 0.5000 0.5000 0.5000 x1

=====

Which of them is the least stable? Correct choice: 1).

=====

1) A relaxed NbCrAs2Se crystal. Source: Alexandria, functional PBE-GGA.

Results
**Calculated volume**: 103.7 Å³/f.u.
**Total magnetic moment**: 4.12 μB per formula unit

Lattice parameters (Å, degrees): 4.6064 4.6064 4.8863 90.00 90.00 90.00
Space group P4/mmm (No. 123)
One atom of each set of equivalent atoms:
Nb: 0.0000 0.0000 0.0000 x1
Cr: 0.5000 0.5000 0.5000 x1
As: 0.0000 0.5000 0.5000 x2
Se: 0.5000 0.5000 0.0000 x1

=====

2) A relaxed NbCrAs2Se crystal. Source: Alexandria, functional PBE-GGA.

Results
**Calculated volume**: 126.1 Å³/f.u.
**Total magnetic moment**: 4.26 μB per formula unit

Lattice parameters (Å, degrees): 5.0210 5.0210 5.0012 90.00 90.00 90.00
Space group P4/mmm (No. 123)
One atom of each set of equivalent atoms:
Nb: 0.0000 0.0000 0.0000 x1
Cr: 0.5000 0.5000 0.5000 x1
As: 0.0000 0.5000 0.0000 x2
Se: 0.0000 0.0000 0.5000 x1

=====

Which of them is the least stable? Correct choice: 1).